Record 1
A relaxed structure of Ce2Y3TmBi6. Source: Alexandria, functional PBE.

Summary:
ρ, g cm⁻³: 8.4
ΔH_f (0 K), eV per atom: -0.843
Crystal system: monoclinic

Lattice parameters (Å, degrees): 7.822 13.552 7.823 90.00 109.51 90.00
Space group C2/m (No. 12)
Inequivalent atoms, fractional coordinates:
1 Ce 0.000 0.166 0.000 [4 per cell]
2 Y 0.000 0.000 0.500 [2 per cell]
3 Y 0.000 0.331 0.500 [4 per cell]
4 Tm 0.000 0.500 0.000 [2 per cell]
5 Bi 0.243 0.500 0.745 [4 per cell]
6 Bi 0.248 0.336 0.252 [8 per cell]


Record 2
A relaxed structure of NpUOsPt. Source: Alexandria, functional PBE.

Summary:
ρ, g cm⁻³: 20.1
ΔH_f (0 K), eV per atom: -0.350
Crystal system: cubic

Lattice parameters (Å, degrees): 6.577 6.577 6.577 90.00 90.00 90.00
Space group F-43m (No. 216)
Inequivalent atoms, fractional coordinates:
1 Np 0.000 0.000 0.000 [4 per cell]
2 U 0.250 0.250 0.750 [4 per cell]
3 Os 0.000 0.000 0.500 [4 per cell]
4 Pt 0.250 0.250 0.250 [4 per cell]


Record 3
A relaxed structure of LaCrCo2W. Source: Alexandria, functional PBE.

Summary:
ρ, g cm⁻³: 8.5
ΔH_f (0 K), eV per atom: 2.427
Crystal system: tetragonal

Lattice parameters (Å, degrees): 4.367 4.367 5.025 90.00 90.00 90.00
Space group P4/mmm (No. 123)
Inequivalent atoms, fractional coordinates:
1 La 0.000 0.000 0.000 [1 per cell]
2 Cr 0.500 0.500 0.500 [1 per cell]
3 Co 0.000 0.500 0.000 [2 per cell]
4 W 0.000 0.000 0.500 [1 per cell]


Record 4
A relaxed structure of SiAs2Br. Source: Alexandria, functional PBE.

Summary:
ρ, g cm⁻³: 4.9
Uncorrected formation energy, eV per atom: 0.136
Energy relative to the lowest polymorph listed for this composition, eV per formula unit: 0.32
Crystal system: trigonal

Lattice parameters (Å, degrees): 3.8623 3.8623 20.1903 90.00 90.00 120.00
Space group R-3m (No. 166, hexagonal axes)
Inequivalent atoms, fractional coordinates:
1 Si 0.0000 0.0000 0.0000 [3 per cell]
2 As 0.0000 0.0000 0.2719 [6 per cell]
3 Br 0.0000 0.0000 0.5000 [3 per cell]